# 1
! NaBe3Ir (GGA-PBE, relaxed); values from VASP
! Formation energy from the elements ... 1721.8 meV per atom
! Energy relative to the lowest polymorph listed for this composition ... 154.71 kJ per mole of atoms
&SYSTEM
  ibrav = 0, nat = 5, ntyp = 3
/
ATOMIC_SPECIES
Ir 192.22 Ir.upf
Be 9.01 Be.upf
Na 22.99 Na.upf
CELL_PARAMETERS angstrom
-2.7543 -2.1586 -1.9023
2.3428 -3.2113 0.2518
-1.6702 -0.9448 3.4903
ATOMIC_POSITIONS angstrom
Ir -1.0408 -3.1574 0.9199
Be -0.8351 -0.4724 1.7452
Be 1.1714 -1.6056 0.1259
Be -1.3772 -1.0793 -0.9512
Na 0.0000 0.0000 0.0000



# 2
! NbRhN3 (GGA-PBE, relaxed); values from VASP
! VASP energy ... -7.413 eV/atom
&SYSTEM
  ibrav = 0, nat = 5, ntyp = 3
/
ATOMIC_SPECIES
N 14.01 N.upf
Nb 92.91 Nb.upf
Rh 102.91 Rh.upf
CELL_PARAMETERS angstrom
-2.4684 -2.3945 -2.1062
2.7886 -2.9129 0.0434
-1.5471 -1.4298 3.4387
ATOMIC_POSITIONS angstrom
N -1.2342 -1.1973 -1.0531
N 1.3943 -1.4564 0.0217
N -0.7735 -0.7149 1.7194
Nb 0.0000 0.0000 0.0000
Rh -0.6135 -3.3686 0.6880



# 3
! TmPu6Te8 (GGA-PBE, relaxed); values from VASP
! VASP energy ... -8.840 eV/atom
&SYSTEM
  ibrav = 0, nat = 15, ntyp = 3
/
ATOMIC_SPECIES
Pu 244.00 Pu.upf
Te 127.60 Te.upf
Tm 168.93 Tm.upf
CELL_PARAMETERS angstrom
1.3804 6.4040 5.9600
2.2629 -2.0913 8.3033
8.2018 1.6531 2.9045
ATOMIC_POSITIONS angstrom
Pu 5.2323 -0.2191 5.6039
Pu 4.7911 4.0285 4.4323
Pu 0.6902 3.2020 2.9800
Pu 4.1009 0.8266 1.4522
Pu 1.8216 2.1564 7.1317
Pu 1.1314 -1.0456 4.1516
Te 8.2173 1.2545 9.9095
Te 4.0736 0.4193 8.4421
Te 3.6278 4.7113 7.2583
Te 7.0741 2.3111 5.7145
Te 4.7710 3.6548 11.4533
Te 2.9613 1.4915 4.2920
Te 7.7715 5.5465 8.7257
Te 8.8838 4.4744 12.8759
Tm 0.0000 0.0000 0.0000